Record 1
Density functional theory data (PBE) for a relaxed structure of CePmN.

Cell and atoms, written as extended XYZ:
```
3
Lattice="-4.8393 2.2433 -3.4383 -2.3007 -1.6065 2.1901 1.0670 3.3291 0.6702" Properties=species:S:1:pos:R:3 pbc="T T T"
N -0.0472 0.0219 -0.0335
Ce -1.0906 2.1637 0.4414
Pm -4.9351 1.7803 -0.9859
```

Output
As for the space group: P3m1, No. 156. The calculation puts the offset from the most stable computed form at 0 meV/atom. The raw formation energy comes out at -2.6 eV per formula unit. The raw total energy comes out at -7.22 eV per atom.

---

Record 2
Density functional theory data (PBE) for a relaxed structure of PrFeGe2.

Cell and atoms, written as extended XYZ:
```
4
Lattice="-1.5500 3.2526 1.9916 -3.6402 -0.2930 1.9003 0.7089 -0.5653 5.7300" Properties=species:S:1:pos:R:3 pbc="T T T"
Pr 0.0000 0.0000 0.0000
Ge -3.6251 1.9638 6.7364
Ge -0.8562 0.4305 2.8855
Fe -2.2407 1.1971 4.8109
```

Output
As for the space group: R-3m, No. 166. The raw total energy comes out at -6.08 eV per atom.

---

Record 3
Density functional theory data (PBE) for a relaxed structure of TcP2PtS.

Cell and atoms, written as extended XYZ:
```
5
Lattice="4.6729 0.0000 0.0000 0.0000 4.6729 0.0000 0.0000 0.0000 4.3554" Properties=species:S:1:pos:R:3 pbc="T T T"
P 0.0000 2.3365 0.0000
P 2.3365 0.0000 0.0000
S 0.0000 0.0000 2.1777
Tc 0.0000 0.0000 0.0000
Pt 2.3365 2.3365 2.1777
```

Output
As for the space group: P4/mmm, No. 123. The calculation puts the offset from the most stable computed form at 0 meV/atom. The raw formation energy comes out at 3.8 eV per formula unit. The raw total energy comes out at -5.51 eV per atom.

---

Record 4
Density functional theory data (PBE) for a relaxed structure of Hg2PPd.

Cell and atoms, written as extended XYZ:
```
8
Lattice="4.0444 0.0000 0.0000 0.0000 4.0444 0.0000 2.0222 2.0222 9.8567" Properties=species:S:1:pos:R:3 pbc="T T T"
P 2.0222 2.0222 0.0000
P 2.0222 4.0444 4.9284
Hg 3.0381 1.0111 2.4642
Hg 1.0063 3.0333 2.4642
Hg 3.0333 3.0285 7.3926
Hg 5.0555 5.0604 7.3926
Pd 0.0000 0.0000 0.0000
Pd 4.0444 2.0222 4.9284
```

Output
As for the space group: I-42d, No. 122. The raw total energy comes out at -2.52 eV per atom.

---

Record 5
Density functional theory data (PBE) for a relaxed structure of HfBiP2Ir.

Cell and atoms, written as extended XYZ:
```
5
Lattice="4.9112 0.0000 0.0000 0.0000 4.9835 0.0000 0.0000 0.0000 4.9112" Properties=species:S:1:pos:R:3 pbc="T T T"
P 0.0000 0.0000 2.4556
P 2.4556 0.0000 0.0000
Ir 0.0000 2.4918 0.0000
Hf 0.0000 0.0000 0.0000
Bi 2.4556 2.4918 2.4556
```

Output
As for the space group: P4/mmm, No. 123. The raw total energy comes out at -6.09 eV per atom.

---

Record 6
Density functional theory data (PBE) for a relaxed structure of LiBiO2.

Cell and atoms, written as extended XYZ:
```
8
Lattice="-0.9551 2.2500 4.2338 3.0246 -3.0668 2.3122 5.0366 2.8953 2.4200" Properties=species:S:1:pos:R:3 pbc="T T T"
Bi 0.0000 0.0000 0.0000
Bi 2.5581 2.3685 4.9634
O 1.0728 1.6701 3.3959
O 2.9976 -0.8350 2.7236
O 4.6566 1.7607 4.3485
O 5.4853 1.5613 7.4639
Li 1.0348 -0.4084 3.2730
Li 4.5480 -0.2899 4.0026
```

Output
As for the space group: I-42d, No. 122. The raw formation energy comes out at -5.4 eV per formula unit. The raw total energy comes out at -5.28 eV per atom.

---

Size of the total moment values (in Bohr magnetons per cell) by entry order: 0.99, 1.47, 0.00, 0.00, 0.00, 0.00.